{
  "formula": "Ca4Ac5Pr2",
  "functional": "GGA-PBE",
  "state": "optimized geometry",
  "total_magnetization_mub_per_fu": 0.00,
  "rho_g_cm3": 5.578,
  "e_tot_ev_per_atom": -3.3361,
  "cell": [[3.979, 0.000, 0.000], [0.000, 9.750, -0.144], [0.000, 1.180, 12.085]],
  "species": ["Ca", "Ca", "Ca", "Ac", "Pr", "Ac", "Ac", "Pr", "Ac", "Ca", "Ac"],
  "frac_coords": [[0.500, 0.812, 0.866], [0.500, 0.250, 0.569], [0.500, 0.750, 0.431], [0.000, 0.444, 0.324], [0.000, 0.936, 0.631], [0.000, 0.556, 0.676], [0.000, 0.837, 0.141], [0.000, 0.064, 0.369], [0.000, 0.500, 0.000], [0.500, 0.188, 0.134], [0.000, 0.163, 0.859]]
}



{
  "formula": "PaTi2Si4",
  "functional": "GGA-PBE",
  "state": "optimized geometry",
  "total_magnetization_mub_per_fu": 0.00,
  "rho_g_cm3": 6.217,
  "raw_formation_energy_mev_per_atom": -571.9,
  "e_tot_ev_per_atom": -7.2830,
  "cell": [[-2.841, -1.573, 1.743], [2.292, -1.309, 2.555], [-0.836, 8.642, 2.538]],
  "species": ["Ti", "Pa", "Si", "Si", "Si", "Si", "Ti"],
  "frac_coords": [[0.190, 0.190, 0.380], [0.500, 0.000, 0.000], [0.662, 0.662, 0.324], [0.924, 0.424, 0.848], [0.076, 0.576, 0.152], [0.338, 0.338, 0.676], [0.810, 0.810, 0.620]]
}



{
  "formula": "RbAlSN2",
  "functional": "GGA-PBE",
  "state": "optimized geometry",
  "total_magnetization_mub_per_fu": 3.85,
  "rho_g_cm3": 3.319,
  "raw_formation_energy_mev_per_atom": 552.4,
  "e_tot_ev_per_atom": -4.5452,
  "cell": [[4.221, 0.000, 0.000], [0.000, 4.221, 0.000], [0.000, 0.000, 4.844]],
  "species": ["Rb", "N", "S", "Al", "N"],
  "frac_coords": [[0.500, 0.500, 0.500], [0.000, 0.500, 0.000], [0.000, 0.000, 0.500], [0.000, 0.000, 0.000], [0.500, 0.000, 0.000]]
}



{
  "formula": "AcZrCu",
  "functional": "GGA-PBE",
  "state": "optimized geometry",
  "total_magnetization_mub_per_fu": 0.00,
  "rho_g_cm3": 7.726,
  "e_tot_ev_per_atom": -5.3243,
  "cell": [[-2.608, -2.189, 1.695], [3.439, -1.390, -0.771], [4.274, 4.033, 11.786]],
  "species": ["Cu", "Ac", "Cu", "Zr", "Zr", "Ac"],
  "frac_coords": [[0.611, 0.223, 0.000], [0.612, 0.223, 0.671], [0.277, 0.555, 0.500], [0.277, 0.554, 0.881], [0.277, 0.554, 0.119], [0.612, 0.223, 0.329]]
}



{
  "formula": "La8SiGe5",
  "functional": "GGA-PBE",
  "state": "optimized geometry",
  "total_magnetization_mub_per_fu": 0.00,
  "rho_g_cm3": 6.076,
  "raw_formation_energy_mev_per_atom": -805.4,
  "e_tot_ev_per_atom": -5.6575,
  "cell": [[7.659, 0.000, -2.668], [-3.805, 6.625, -2.721], [-0.048, 0.000, 8.110]],
  "species": ["Ge", "La", "La", "La", "La", "La", "Ge", "Si", "Ge", "La", "La", "La", "Ge", "Ge"],
  "frac_coords": [[0.500, 0.000, 0.500], [0.623, 0.882, 0.874], [0.624, 0.384, 0.875], [0.126, 0.749, 0.008], [0.760, 0.250, 0.376], [0.259, 0.251, 0.377], [0.750, 0.624, 0.625], [0.250, 0.500, 0.750], [0.375, 0.125, 0.000], [0.490, 0.616, 0.240], [0.125, 0.750, 0.510], [0.992, 0.118, 0.741], [0.875, 0.875, 0.250], [0.000, 0.376, 0.125]]
}



{
  "formula": "Cu2Si3",
  "functional": "GGA-PBE",
  "state": "optimized geometry",
  "total_magnetization_mub_per_fu": 0.00,
  "rho_g_cm3": 4.705,
  "raw_formation_energy_mev_per_atom": 244.1,
  "e_tot_ev_per_atom": -4.6482,
  "cell": [[-0.113, 0.992, 3.590], [-2.748, 1.018, -2.302], [-3.063, -5.222, 1.347]],
  "species": ["Cu", "Si", "Si", "Si", "Cu"],
  "frac_coords": [[0.333, 0.667, 0.794], [0.000, 0.000, 0.000], [0.667, 0.333, 0.606], [0.333, 0.667, 0.394], [0.667, 0.333, 0.206]]
}



{
  "formula": "Re2Ir9Rh",
  "functional": "GGA-PBE",
  "state": "optimized geometry",
  "total_magnetization_mub_per_fu": 0.00,
  "rho_g_cm3": 20.957,
  "e_tot_ev_per_atom": -9.4294,
  "cell": [[3.880, 0.000, 0.000], [0.000, 3.880, 0.000], [0.000, 0.000, 11.610]],
  "species": ["Ir", "Ir", "Ir", "Re", "Ir", "Rh", "Ir", "Ir", "Ir", "Ir", "Re", "Ir"],
  "frac_coords": [[0.000, 0.500, 0.170], [0.500, 0.000, 0.500], [0.000, 0.500, 0.500], [0.000, 0.000, 0.328], [0.500, 0.000, 0.170], [0.000, 0.000, 0.000], [0.500, 0.500, 0.000], [0.500, 0.500, 0.665], [0.000, 0.500, 0.830], [0.500, 0.500, 0.335], [0.000, 0.000, 0.672], [0.500, 0.000, 0.830]]
}



{
  "formula": "Na2Tl3Hg7",
  "functional": "GGA-PBE",
  "state": "optimized geometry",
  "total_magnetization_mub_per_fu": 0.00,
  "rho_g_cm3": 9.939,
  "e_tot_ev_per_atom": -1.0579,
  "cell": [[-3.204, -0.314, 1.934], [0.088, -5.060, -0.675], [9.362, -1.100, 15.331]],
  "species": ["Hg", "Hg", "Na", "Tl", "Hg", "Hg", "Tl", "Tl", "Hg", "Hg", "Na", "Hg"],
  "frac_coords": [[0.500, 0.205, 0.180], [0.500, 0.256, 0.547], [0.500, 0.720, 0.288], [0.500, 0.500, 0.000], [0.500, 0.744, 0.453], [0.000, 0.703, 0.150], [0.000, 0.765, 0.612], [0.000, 0.235, 0.388], [0.500, 0.795, 0.820], [0.000, 0.000, 0.000], [0.500, 0.280, 0.712], [0.000, 0.297, 0.850]]
}



{
  "formula": "La2Dy2S7",
  "functional": "GGA-PBE",
  "state": "optimized geometry",
  "total_magnetization_mub_per_fu": 0.00,
  "rho_g_cm3": 5.453,
  "raw_formation_energy_mev_per_atom": -1805.7,
  "e_tot_ev_per_atom": -6.1649,
  "cell": [[-2.837, 0.019, 2.851], [-4.139, -7.449, -1.232], [2.073, -6.738, 4.944]],
  "species": ["S", "S", "Dy", "Dy", "La", "S", "La", "S", "S", "S", "S"],
  "frac_coords": [[0.867, 0.413, 0.852], [0.605, 0.502, 0.287], [0.500, 0.333, 0.667], [0.000, 0.780, 0.220], [0.743, 0.846, 0.668], [0.177, 0.715, 0.931], [0.257, 0.332, 0.154], [0.823, 0.069, 0.285], [0.395, 0.713, 0.498], [0.133, 0.148, 0.587], [0.500, 0.003, 0.997]]
}



{
  "formula": "La2ReBr",
  "functional": "GGA-PBE",
  "state": "optimized geometry",
  "total_magnetization_mub_per_fu": 0.00,
  "rho_g_cm3": 8.521,
  "raw_formation_energy_mev_per_atom": -352.0,
  "e_tot_ev_per_atom": -6.3460,
  "cell": [[5.136, 0.000, 0.000], [0.000, 3.546, 0.006], [0.000, 1.772, 5.824]],
  "species": ["Re", "La", "Br", "La"],
  "frac_coords": [[0.000, 0.612, 0.342], [0.500, 0.252, 0.380], [0.500, 0.578, 0.845], [0.000, 0.059, 0.933]]
}



{
  "formula": "La2Y2Tl",
  "functional": "GGA-PBE",
  "state": "optimized geometry",
  "total_magnetization_mub_per_fu": 0.00,
  "rho_g_cm3": 6.585,
  "e_tot_ev_per_atom": -5.1705,
  "cell": [[5.672, 0.000, 0.000], [-2.836, 6.023, -1.440], [0.000, -3.658, 5.746]],
  "species": ["La", "La", "Y", "Y", "Tl"],
  "frac_coords": [[0.396, 0.793, 0.604], [0.604, 0.207, 0.396], [0.180, 0.360, 0.820], [0.820, 0.640, 0.180], [0.000, 0.000, 0.000]]
}



{
  "formula": "GeMo3Ru",
  "functional": "GGA-PBE",
  "state": "optimized geometry",
  "total_magnetization_mub_per_fu": 0.00,
  "rho_g_cm3": 8.093,
  "e_tot_ev_per_atom": -7.7389,
  "cell": [[4.558, 0.000, 0.000], [0.000, 4.558, 0.000], [0.000, 0.000, 4.558]],
  "species": ["Mo", "Ge", "Mo", "Mo", "Ru"],
  "frac_coords": [[0.000, 0.500, 0.000], [0.000, 0.000, 0.000], [0.000, 0.000, 0.500], [0.500, 0.000, 0.000], [0.500, 0.500, 0.500]]
}



{
  "formula": "K2TmAuCl6",
  "functional": "GGA-PBE",
  "state": "optimized geometry",
  "total_magnetization_mub_per_fu": 0.00,
  "rho_g_cm3": 3.609,
  "raw_formation_energy_mev_per_atom": -1642.3,
  "e_tot_ev_per_atom": -3.7446,
  "cell": [[5.186, 1.899, 5.123], [-2.095, 1.668, 7.041], [1.634, -4.724, 5.635]],
  "species": ["Cl", "Cl", "K", "Au", "Cl", "Cl", "K", "Cl", "Cl", "Tm"],
  "frac_coords": [[0.243, 0.243, 0.757], [0.243, 0.757, 0.757], [0.750, 0.750, 0.750], [0.500, 0.500, 0.500], [0.243, 0.757, 0.243], [0.757, 0.243, 0.243], [0.250, 0.250, 0.250], [0.757, 0.757, 0.243], [0.757, 0.243, 0.757], [0.000, 0.000, 0.000]]
}



{
  "formula": "Tb3Y2In",
  "functional": "GGA-PBE",
  "state": "optimized geometry",
  "total_magnetization_mub_per_fu": 0.00,
  "rho_g_cm3": 7.074,
  "e_tot_ev_per_atom": -5.0883,
  "cell": [[4.903, 0.000, 0.000], [0.000, 4.618, -1.562], [0.000, 0.111, 7.939]],
  "species": ["Y", "Tb", "Tb", "In", "Y", "Tb"],
  "frac_coords": [[0.000, 0.661, 0.321], [0.500, 0.168, 0.336], [0.500, 0.832, 0.664], [0.000, 0.000, 0.000], [0.000, 0.339, 0.679], [0.500, 0.500, 0.000]]
}



{
  "formula": "CsGaPb2F8",
  "functional": "GGA-PBE",
  "state": "optimized geometry",
  "total_magnetization_mub_per_fu": 0.00,
  "rho_g_cm3": 5.874,
  "raw_formation_energy_mev_per_atom": -2541.2,
  "e_tot_ev_per_atom": -4.7302,
  "cell": [[-1.560, -5.347, 0.506], [4.995, -0.480, 2.255], [-0.298, 1.414, 7.478]],
  "species": ["Cs", "Pb", "F", "Ga", "F", "F", "F", "F", "Pb", "F", "F", "F"],
  "frac_coords": [[0.000, 0.000, 0.500], [0.530, 0.384, 0.776], [0.948, 0.302, 0.774], [0.000, 0.000, 0.000], [0.052, 0.698, 0.226], [0.781, 0.775, 0.903], [0.480, 0.741, 0.486], [0.520, 0.259, 0.514], [0.470, 0.616, 0.224], [0.271, 0.938, 0.887], [0.729, 0.062, 0.113], [0.219, 0.225, 0.097]]
}



{
  "formula": "CdFeCo2Hg",
  "functional": "GGA-PBE",
  "state": "optimized geometry",
  "total_magnetization_mub_per_fu": 6.53,
  "rho_g_cm3": 7.536,
  "e_tot_ev_per_atom": -3.2337,
  "cell": [[-0.858, 4.576, 0.826], [-3.798, -1.195, 2.673], [2.757, -0.176, 3.838]],
  "species": ["Fe", "Co", "Cd", "Co", "Hg"],
  "frac_coords": [[0.000, 0.500, 0.000], [0.000, 0.000, 0.500], [0.000, 0.000, 0.000], [0.500, 0.000, 0.000], [0.500, 0.500, 0.500]]
}



{
  "formula": "NbInAu2",
  "functional": "GGA-PBE",
  "state": "optimized geometry",
  "total_magnetization_mub_per_fu": 0.00,
  "rho_g_cm3": 13.141,
  "e_tot_ev_per_atom": -4.9415,
  "cell": [[-0.505, 1.390, -2.721], [2.688, -1.108, -1.065], [-3.718, -6.492, -2.626]],
  "species": ["Au", "Au", "In", "Nb"],
  "frac_coords": [[0.000, 0.000, 0.261], [0.000, 0.000, 0.739], [0.500, 0.500, 0.000], [0.500, 0.500, 0.500]]
}



{
  "formula": "CeYBeAl",
  "functional": "GGA-PBE",
  "state": "optimized geometry",
  "total_magnetization_mub_per_fu": 0.24,
  "rho_g_cm3": 4.957,
  "e_tot_ev_per_atom": -5.0421,
  "cell": [[-0.344, 1.241, 4.839], [0.399, -3.534, 3.525], [4.061, -0.172, 2.924]],
  "species": ["Y", "Ce", "Al", "Be"],
  "frac_coords": [[0.750, 0.750, 0.750], [0.250, 0.250, 0.250], [0.500, 0.500, 0.500], [0.000, 0.000, 0.000]]
}



{
  "formula": "Pr3Nd2Sm6Al",
  "functional": "GGA-PBE",
  "state": "optimized geometry",
  "total_magnetization_mub_per_fu": 0.00,
  "rho_g_cm3": 6.918,
  "e_tot_ev_per_atom": -4.6680,
  "cell": [[6.230, -0.009, 0.000], [-3.121, 5.392, 0.000], [-1.057, -1.830, 11.730]],
  "species": ["Al", "Sm", "Pr", "Sm", "Sm", "Nd", "Pr", "Sm", "Pr", "Sm", "Nd", "Sm"],
  "frac_coords": [[0.000, 0.000, 0.000], [0.920, 0.598, 0.758], [0.169, 0.831, 0.500], [0.080, 0.402, 0.242], [0.241, 0.241, 0.756], [0.334, 0.666, 0.000], [0.500, 0.500, 0.500], [0.759, 0.759, 0.244], [0.831, 0.169, 0.500], [0.598, 0.920, 0.758], [0.666, 0.334, 0.000], [0.402, 0.080, 0.242]]
}



{
  "formula": "CaBe2Pb2",
  "functional": "GGA-PBE",
  "state": "optimized geometry",
  "total_magnetization_mub_per_fu": 0.00,
  "rho_g_cm3": 7.051,
  "e_tot_ev_per_atom": -3.1816,
  "cell": [[-4.066, 1.291, 0.766], [-0.935, -3.909, 1.623], [-0.896, 0.546, 6.585]],
  "species": ["Pb", "Pb", "Ca", "Be", "Be"],
  "frac_coords": [[0.368, 0.368, 0.264], [0.632, 0.632, 0.736], [0.000, 0.000, 0.000], [0.750, 0.250, 0.500], [0.250, 0.750, 0.500]]
}



| no. | V (Å³ per atom) |
| --- | --- |
| 1 | 42.7 |
| 2 | 16.8 |
| 3 | 17.3 |
| 4 | 27.4 |
| 5 | 29.3 |
| 6 | 14.9 |
| 7 | 14.6 |
| 8 | 28.7 |
| 9 | 22.9 |
| 10 | 26.5 |
| 11 | 33.3 |
| 12 | 18.9 |
| 13 | 30.2 |
| 14 | 30.1 |
| 15 | 18.1 |
| 16 | 21.4 |
| 17 | 19.0 |
| 18 | 22.2 |
| 19 | 32.8 |
| 20 | 22.3 |